# CaThNiRu PBE-GGA optimized geometry
data_CaThNiRu
_cell_length_a 4.8911
_cell_length_b 4.8911
_cell_length_c 4.8911
_cell_angle_alpha 60.00
_cell_angle_beta 60.00
_cell_angle_gamma 60.00
_symmetry_space_group_name_H-M 'P 1'
_symmetry_Int_Tables_number 1
loop_
_symmetry_equiv_pos_as_xyz
'x,y,z'
loop_
_atom_site_label
_atom_site_fract_x
_atom_site_fract_y
_atom_site_fract_z
_atom_site_occupancy
Ca1 0.0000 0.0000 0.0000 1
Th1 0.5000 0.5000 0.5000 1
Ni1 0.7500 0.7500 0.7500 1
Ru1 0.2500 0.2500 0.2500 1
# Energy of formation, eV/atom: -0.16
# Calculated total energy, eV per atom: -6.283



# AsIrAu2 PBE-GGA optimized geometry
data_AsIrAu2
_cell_length_a 6.4096
_cell_length_b 6.4096
_cell_length_c 4.1263
_cell_angle_alpha 96.25
_cell_angle_beta 96.25
_cell_angle_gamma 26.24
_symmetry_space_group_name_H-M 'P 1'
_symmetry_Int_Tables_number 1
loop_
_symmetry_equiv_pos_as_xyz
'x,y,z'
loop_
_atom_site_label
_atom_site_fract_x
_atom_site_fract_y
_atom_site_fract_z
_atom_site_occupancy
As1 0.0000 0.0000 0.0000 1
Ir1 0.5000 0.5000 0.5000 1
Au1 0.1920 0.1920 0.7387 1
Au2 0.8080 0.8080 0.2613 1
# Energy of formation, eV/atom: 0.24
# Calculated total energy, eV per atom: -4.778



# Tb3PaP4 PBE-GGA optimized geometry
data_Tb3PaP4
_cell_length_a 6.9325
_cell_length_b 6.9325
_cell_length_c 4.0127
_cell_angle_alpha 90.00
_cell_angle_beta 90.00
_cell_angle_gamma 109.46
_symmetry_space_group_name_H-M 'P 1'
_symmetry_Int_Tables_number 1
loop_
_symmetry_equiv_pos_as_xyz
'x,y,z'
loop_
_atom_site_label
_atom_site_fract_x
_atom_site_fract_y
_atom_site_fract_z
_atom_site_occupancy
Tb1 0.0000 0.0000 0.0000 1
Tb2 0.0000 0.5000 0.5000 1
Tb3 0.5000 0.0000 0.5000 1
Pa1 0.5000 0.5000 0.0000 1
P1 0.2540 0.7460 0.0000 1
P2 0.2547 0.2547 0.5000 1
P3 0.7453 0.7453 0.5000 1
P4 0.7460 0.2540 0.0000 1
# Energy of formation, eV/atom: -1.55
# Calculated total energy, eV per atom: -7.176
# Offset from the most stable computed form, meV/atom: 4